{"formula": "CeThCd2", "functional": "PBE", "state": "optimized geometry", "cell": [[-0.393, -3.039, 2.112], [2.116, -1.927, -2.379], [6.627, 2.074, 4.215]], "species": ["Cd", "Ce", "Th", "Cd"], "frac_coords": [[0.000, 0.000, 0.253], [0.500, 0.500, 0.500], [0.500, 0.500, 0.000], [0.000, 0.000, 0.747]], "formation_energy_ev_per_fu": -0.3, "dos_ef_per_ev_atom": 2.399}



{"formula": "LiAg", "functional": "PBE", "state": "optimized geometry", "cell": [[5.052, 0.066, 0.000], [1.912, 4.677, 0.000], [-3.482, -2.371, 2.790]], "species": ["Ag", "Li", "Li", "Ag"], "frac_coords": [[0.750, 0.250, 0.500], [0.500, 0.500, 0.000], [0.250, 0.750, 0.500], [0.000, 0.000, 0.000]], "formation_energy_ev_per_fu": -0.4, "dos_ef_per_ev_atom": 0.270}



{"formula": "AcTmAlPb", "functional": "PBE", "state": "optimized geometry", "cell": [[-5.006, -2.279, 0.434], [-2.321, -2.415, -4.384], [-0.556, -5.487, -0.154]], "species": ["Pb", "Ac", "Al", "Tm"], "frac_coords": [[0.750, 0.750, 0.750], [0.500, 0.500, 0.500], [0.250, 0.250, 0.250], [0.000, 0.000, 0.000]], "formation_energy_ev_per_fu": -1.1, "dos_ef_per_ev_atom": 0.795}



{"formula": "MgZn2Sb", "functional": "PBE", "state": "optimized geometry", "cell": [[3.188, 0.000, 0.000], [0.000, 3.188, 0.000], [0.000, 0.000, 8.100]], "species": ["Mg", "Zn", "Sb", "Zn"], "frac_coords": [[0.500, 0.500, 0.250], [0.000, 0.000, 0.021], [0.500, 0.500, 0.750], [0.000, 0.000, 0.479]], "e_form_raw_ev_per_atom": 0.100, "dos_ef_per_ev_atom": 0.457}



{"formula": "Sr2Ni2B", "functional": "PBE", "state": "optimized geometry", "cell": [[-6.072, 1.505, -0.373], [-0.419, -0.140, 6.251], [1.115, 4.542, 0.176]], "species": ["Sr", "Sr", "Sr", "B", "Ni", "Ni", "B", "Ni", "Sr", "Ni"], "frac_coords": [[0.181, 0.681, 0.500], [0.819, 0.319, 0.500], [0.681, 0.819, 0.500], [0.500, 0.500, 0.000], [0.352, 0.852, 0.000], [0.852, 0.648, 0.000], [0.000, 0.000, 0.000], [0.648, 0.148, 0.000], [0.319, 0.181, 0.500], [0.148, 0.352, 0.000]], "formation_energy_ev_per_fu": 2.6, "dos_ef_per_ev_atom": 0.950}



{"formula": "NaTl2ZnCr", "functional": "PBE", "state": "optimized geometry", "cell": [[5.336, 0.000, 0.000], [0.000, 5.095, 0.000], [0.000, 0.000, 5.336]], "species": ["Tl", "Cr", "Tl", "Zn", "Na"], "frac_coords": [[0.500, 0.000, 0.000], [0.000, 0.500, 0.000], [0.000, 0.000, 0.500], [0.000, 0.000, 0.000], [0.500, 0.500, 0.500]], "formation_energy_ev_per_fu": 2.5, "dos_ef_per_ev_atom": 0.521}



{"formula": "LaHg2Pd2", "functional": "PBE", "state": "optimized geometry", "cell": [[8.122, 0.000, 0.000], [0.000, 8.122, 0.000], [0.000, 0.000, 3.277]], "species": ["Hg", "Hg", "Pd", "La", "Hg", "La", "Pd", "Pd", "Hg", "Pd"], "frac_coords": [[0.122, 0.378, 0.000], [0.878, 0.622, 0.000], [0.321, 0.179, 0.500], [0.500, 0.500, 0.000], [0.622, 0.122, 0.000], [0.000, 0.000, 0.000], [0.821, 0.321, 0.500], [0.179, 0.679, 0.500], [0.378, 0.878, 0.000], [0.679, 0.821, 0.500]], "formation_energy_ev_per_fu": -1.7, "dos_ef_per_ev_atom": 0.584}



{"formula": "Ho2ScNi", "functional": "PBE", "state": "optimized geometry", "cell": [[6.227, 0.000, 0.000], [0.000, 6.650, 0.000], [0.000, 0.000, 9.192]], "species": ["Ni", "Ho", "Ho", "Ho", "Ho", "Sc", "Sc", "Ni", "Ho", "Ni", "Sc", "Ho", "Ho", "Ho", "Sc", "Ni"], "frac_coords": [[0.474, 0.898, 0.250], [0.182, 0.686, 0.063], [0.682, 0.814, 0.937], [0.818, 0.314, 0.937], [0.318, 0.186, 0.063], [0.634, 0.537, 0.250], [0.366, 0.463, 0.750], [0.974, 0.602, 0.750], [0.818, 0.314, 0.563], [0.526, 0.102, 0.750], [0.134, 0.963, 0.750], [0.182, 0.686, 0.437], [0.318, 0.186, 0.437], [0.682, 0.814, 0.563], [0.866, 0.037, 0.250], [0.026, 0.398, 0.250]], "formation_energy_ev_per_fu": -1.0, "dos_ef_per_ev_atom": 1.083}



Copy entry 4 word for word.
{"formula": "MgZn2Sb", "functional": "PBE", "state": "optimized geometry", "cell": [[3.188, 0.000, 0.000], [0.000, 3.188, 0.000], [0.000, 0.000, 8.100]], "species": ["Mg", "Zn", "Sb", "Zn"], "frac_coords": [[0.500, 0.500, 0.250], [0.000, 0.000, 0.021], [0.500, 0.500, 0.750], [0.000, 0.000, 0.479]], "e_form_raw_ev_per_atom": 0.100, "dos_ef_per_ev_atom": 0.457}



Please write out number 5 again, unchanged.
{"formula": "Sr2Ni2B", "functional": "PBE", "state": "optimized geometry", "cell": [[-6.072, 1.505, -0.373], [-0.419, -0.140, 6.251], [1.115, 4.542, 0.176]], "species": ["Sr", "Sr", "Sr", "B", "Ni", "Ni", "B", "Ni", "Sr", "Ni"], "frac_coords": [[0.181, 0.681, 0.500], [0.819, 0.319, 0.500], [0.681, 0.819, 0.500], [0.500, 0.500, 0.000], [0.352, 0.852, 0.000], [0.852, 0.648, 0.000], [0.000, 0.000, 0.000], [0.648, 0.148, 0.000], [0.319, 0.181, 0.500], [0.148, 0.352, 0.000]], "formation_energy_ev_per_fu": 2.6, "dos_ef_per_ev_atom": 0.950}